Density functional theory data (PBE with a Hubbard U) for a relaxed TlMoIO2 crystal.

Fermi-level density of states, states/eV/cell: 3.3
Crystal system: tetragonal
Spin magnetization, μB per cell: 4.5
Energy above the lowest structure with this stoichiometry, meV per atom: 926
Total energy, eV per cell: -19.150

a b c (Å): 4.2761 4.2761 6.5993
angles (deg): 90.00 90.00 90.00
Last column: nearest neighbours and their distance in Å.
Positions (direct):
Tl1 0.0000 0.0000 0.0000  4 O 2.14
Mo1 0.5000 0.5000 0.5000  4 I 3.02
I1 0.0000 0.0000 0.5000  4 Mo 3.02, 2 Tl 3.30
O1 0.0000 0.5000 0.0000  2 Tl 2.14
O2 0.5000 0.0000 0.0000  2 Tl 2.14